# Ba2Sb3Pd4Pb | Alexandria via LeMat-Bulk | PBE | relaxed
data_Ba2Sb3Pd4Pb
_chemical_formula_sum 'Ba2 Sb3 Pd4 Pb1'
_symmetry_space_group_name_H-M 'P -4 m 2'
_symmetry_Int_Tables_number 115
_cell_length_a 4.8043
_cell_length_b 4.8043
_cell_length_c 11.0016
_cell_angle_alpha 90.00
_cell_angle_beta 90.00
_cell_angle_gamma 90.00
loop_
_symmetry_equiv_pos_as_xyz
'x,y,z'
'y,-x,-z'
'-x,-y,z'
'-y,x,-z'
'-x,y,z'
'-y,-x,-z'
'x,-y,z'
'y,x,-z'
loop_
_atom_site_label
_atom_site_type_symbol
_atom_site_fract_x
_atom_site_fract_y
_atom_site_fract_z
Ba1 Ba 0.0000 0.5000 0.2412
Sb1 Sb 0.0000 0.5000 0.8801
Sb2 Sb 0.5000 0.5000 0.5000
Pd1 Pd 0.0000 0.0000 0.0000
Pd2 Pd 0.0000 0.5000 0.6348
Pd3 Pd 0.5000 0.5000 0.0000
Pb1 Pb 0.0000 0.0000 0.5000
# DFT total energy   -4.812 eV per atom

***

# PuVCl6 | Alexandria via LeMat-Bulk | PBE | relaxed
data_PuVCl6
_chemical_formula_sum 'Pu2 V2 Cl12'
_symmetry_space_group_name_H-M 'C 1 2/m 1'
_symmetry_Int_Tables_number 12
_cell_length_a 6.3334
_cell_length_b 12.3634
_cell_length_c 6.3078
_cell_angle_alpha 90.00
_cell_angle_beta 106.63
_cell_angle_gamma 90.00
loop_
_symmetry_equiv_pos_as_xyz
'x,y,z'
'-x,-y,-z'
'-x,y,-z'
'x,-y,z'
'x+1/2,y+1/2,z'
'-x+1/2,-y+1/2,-z'
'-x+1/2,y+1/2,-z'
'x+1/2,-y+1/2,z'
loop_
_atom_site_label
_atom_site_type_symbol
_atom_site_fract_x
_atom_site_fract_y
_atom_site_fract_z
Pu1 Pu 0.0000 0.0000 0.0000
V1 V 0.0000 0.5000 0.5000
Cl1 Cl 0.2227 0.3616 0.7278
Cl2 Cl 0.2395 0.5000 0.2668
# DFT total energy   -5.856 eV per atom

***

# La4Sm2TmTh | Alexandria via LeMat-Bulk | PBE | relaxed
data_La4Sm2TmTh
_chemical_formula_sum 'La4 Sm2 Tm1 Th1'
_symmetry_space_group_name_H-M 'P 4/m m m'
_symmetry_Int_Tables_number 123
_symmetry_space_group_name_Hall '-P 4 2'
_cell_length_a 6.1082
_cell_length_b 6.1082
_cell_length_c 7.4325
_cell_angle_alpha 90.00
_cell_angle_beta 90.00
_cell_angle_gamma 90.00
loop_
_atom_site_label
_atom_site_type_symbol
_atom_site_fract_x
_atom_site_fract_y
_atom_site_fract_z
La1 La 0.0000 0.5000 0.2350
Sm1 Sm 0.0000 0.0000 0.5000
Sm2 Sm 0.5000 0.5000 0.5000
Tm1 Tm 0.0000 0.0000 0.0000
Th1 Th 0.5000 0.5000 0.0000
# Formation energy   0.12 eV per atom

***

# Cs2Cd2Bi2H | Alexandria via LeMat-Bulk | PBE | relaxed
data_Cs2Cd2Bi2H
_chemical_formula_sum 'Cs4 Cd4 Bi4 H2'
_symmetry_space_group_name_H-M 'C 1 2/m 1'
_symmetry_Int_Tables_number 12
_cell_length_a 13.5775
_cell_length_b 5.1764
_cell_length_c 9.3586
_cell_angle_alpha 90.00
_cell_angle_beta 131.24
_cell_angle_gamma 90.00
loop_
_symmetry_equiv_pos_as_xyz
'x,y,z'
'-x,-y,-z'
'-x,y,-z'
'x,-y,z'
'x+1/2,y+1/2,z'
'-x+1/2,-y+1/2,-z'
'-x+1/2,y+1/2,-z'
'x+1/2,-y+1/2,z'
loop_
_atom_site_label
_atom_site_type_symbol
_atom_site_fract_x
_atom_site_fract_y
_atom_site_fract_z
Cs1 Cs 0.0655 0.0000 0.3081
Cd1 Cd 0.1817 0.5000 0.0860
Bi1 Bi 0.1672 0.5000 0.7455
H1 H 0.0000 0.5000 0.0000
# DFT total energy   -2.314 eV per atom

***

# BH3Ru | Alexandria via LeMat-Bulk | PBE | relaxed
data_BH3Ru
_chemical_formula_sum 'B1 H3 Ru1'
_symmetry_space_group_name_H-M 'P m -3 m'
_symmetry_Int_Tables_number 221
_symmetry_space_group_name_Hall '-P 4 2 3'
_cell_length_a 3.3355
_cell_length_b 3.3355
_cell_length_c 3.3355
_cell_angle_alpha 90.00
_cell_angle_beta 90.00
_cell_angle_gamma 90.00
loop_
_atom_site_label
_atom_site_type_symbol
_atom_site_fract_x
_atom_site_fract_y
_atom_site_fract_z
B1 B 0.0000 0.0000 0.0000
H1 H 0.0000 0.5000 0.5000
Ru1 Ru 0.5000 0.5000 0.5000
# E above lowest polymorph   0.0915 eV per atom

***

# Tb2PmAl2Ag2 | Alexandria via LeMat-Bulk | PBE | relaxed
data_Tb2PmAl2Ag2
_chemical_formula_sum 'Tb6 Pm3 Al6 Ag6'
_symmetry_space_group_name_H-M 'R -3 m'
_symmetry_Int_Tables_number 166
_symmetry_space_group_name_Hall '-R 3 2"'
_cell_length_a 4.6881
_cell_length_b 4.6881
_cell_length_c 26.9461
_cell_angle_alpha 90.00
_cell_angle_beta 90.00
_cell_angle_gamma 120.00
loop_
_atom_site_label
_atom_site_type_symbol
_atom_site_fract_x
_atom_site_fract_y
_atom_site_fract_z
Tb1 Tb 0.0000 0.0000 0.1274
Pm1 Pm 0.0000 0.0000 0.0000
Al1 Al 0.0000 0.0000 0.2589
Ag1 Ag 0.0000 0.0000 0.4027
# Formation energy   -0.29 eV per atom

***

# Rb2O3 | Alexandria via LeMat-Bulk | PBE | relaxed
data_Rb2O3
_chemical_formula_sum 'Rb16 O24'
_symmetry_space_group_name_H-M 'I -4 2 d'
_symmetry_Int_Tables_number 122
_symmetry_space_group_name_Hall 'I -4 2bw'
_cell_length_a 8.8625
_cell_length_b 8.8625
_cell_length_c 10.4158
_cell_angle_alpha 90.00
_cell_angle_beta 90.00
_cell_angle_gamma 90.00
loop_
_atom_site_label
_atom_site_type_symbol
_atom_site_fract_x
_atom_site_fract_y
_atom_site_fract_z
Rb1 Rb 0.0583 0.6875 0.4470
O1 O 0.0000 0.0000 0.4310
O2 O 0.1196 0.7343 0.1902
# DFT total energy   -4.271 eV per atom

***

# RbMgCd3 | Alexandria via LeMat-Bulk | PBE | relaxed
data_RbMgCd3
_chemical_formula_sum 'Rb1 Mg1 Cd3'
_symmetry_space_group_name_H-M 'P m -3 m'
_symmetry_Int_Tables_number 221
_symmetry_space_group_name_Hall '-P 4 2 3'
_cell_length_a 6.7830
_cell_length_b 6.7830
_cell_length_c 6.7830
_cell_angle_alpha 90.00
_cell_angle_beta 90.00
_cell_angle_gamma 90.00
loop_
_atom_site_label
_atom_site_type_symbol
_atom_site_fract_x
_atom_site_fract_y
_atom_site_fract_z
Rb1 Rb 0.0000 0.0000 0.0000
Mg1 Mg 0.5000 0.5000 0.5000
Cd1 Cd 0.0000 0.0000 0.5000
# E above lowest polymorph   0.6937 eV per atom
# Formation energy   0.66 eV per atom

***

# Ti2VS | Alexandria via LeMat-Bulk | PBE | relaxed
data_Ti2VS
_chemical_formula_sum 'Ti6 V3 S3'
_symmetry_space_group_name_H-M 'R 3 m'
_symmetry_Int_Tables_number 160
_symmetry_space_group_name_Hall 'R 3 -2"'
_cell_length_a 3.1458
_cell_length_b 3.1458
_cell_length_c 22.0494
_cell_angle_alpha 90.00
_cell_angle_beta 90.00
_cell_angle_gamma 120.00
loop_
_atom_site_label
_atom_site_type_symbol
_atom_site_fract_x
_atom_site_fract_y
_atom_site_fract_z
Ti1 Ti 0.0000 0.0000 0.0000
Ti2 Ti 0.0000 0.0000 0.1808
V1 V 0.0000 0.0000 0.4234
S1 S 0.0000 0.0000 0.5914
# DFT total energy   -7.720 eV per atom

***

# AcAsIr | Alexandria via LeMat-Bulk | PBE | relaxed
data_AcAsIr
_chemical_formula_sum 'Ac2 As2 Ir2'
_symmetry_space_group_name_H-M 'I 4 m m'
_symmetry_Int_Tables_number 107
_symmetry_space_group_name_Hall 'I 4 -2'
_cell_length_a 3.5210
_cell_length_b 3.5210
_cell_length_c 11.0565
_cell_angle_alpha 90.00
_cell_angle_beta 90.00
_cell_angle_gamma 90.00
loop_
_atom_site_label
_atom_site_type_symbol
_atom_site_fract_x
_atom_site_fract_y
_atom_site_fract_z
Ac1 Ac 0.0000 0.0000 0.0000
As1 As 0.0000 0.0000 0.2831
Ir1 Ir 0.0000 0.0000 0.6985
# E above lowest polymorph   0.5924 eV per atom
# Formation energy   -0.34 eV per atom

***

# TaMnRe | Alexandria via LeMat-Bulk | PBE | relaxed
data_TaMnRe
_chemical_formula_sum 'Ta4 Mn4 Re4'
_symmetry_space_group_name_H-M 'F -4 3 m'
_symmetry_Int_Tables_number 216
_symmetry_space_group_name_Hall 'F -4 2 3'
_cell_length_a 5.8338
_cell_length_b 5.8338
_cell_length_c 5.8338
_cell_angle_alpha 90.00
_cell_angle_beta 90.00
_cell_angle_gamma 90.00
loop_
_atom_site_label
_atom_site_type_symbol
_atom_site_fract_x
_atom_site_fract_y
_atom_site_fract_z
Ta1 Ta 0.0000 0.0000 0.0000
Mn1 Mn 0.2500 0.2500 0.7500
Re1 Re 0.0000 0.0000 0.5000
# E above lowest polymorph   0.4074 eV per atom
# Formation energy   0.41 eV per atom

***

# DyHfMn17 | Alexandria via LeMat-Bulk | PBE | relaxed
data_DyHfMn17
_chemical_formula_sum 'Dy3 Hf3 Mn51'
_symmetry_space_group_name_H-M 'R 3 m'
_symmetry_Int_Tables_number 160
_symmetry_space_group_name_Hall 'R 3 -2"'
_cell_length_a 8.1537
_cell_length_b 8.1537
_cell_length_c 12.2499
_cell_angle_alpha 90.00
_cell_angle_beta 90.00
_cell_angle_gamma 120.00
loop_
_atom_site_label
_atom_site_type_symbol
_atom_site_fract_x
_atom_site_fract_y
_atom_site_fract_z
Dy1 Dy 0.0000 0.0000 0.0000
Hf1 Hf 0.0000 0.0000 0.3106
Mn1 Mn 0.0000 0.0000 0.5641
Mn2 Mn 0.0000 0.0000 0.7472
Mn3 Mn 0.0013 0.5007 0.4986
Mn4 Mn 0.0038 0.5019 0.1568
Mn5 Mn 0.0410 0.3695 0.3227
Mn6 Mn 0.1676 0.3352 0.1462
# Formation energy   0.00 eV per atom